The following is a DFT calculation (meta-GGA SCAN) of NiC3Cl at its PBEsol-relaxed geometry.

Structure (extended XYZ):
```
5
Lattice="3.537 0.000 0.000 0.000 3.537 0.000 0.000 0.000 3.537" Properties=species:S:1:pos:R:3 pbc="T T T"
C 1.769 0.000 0.000
C 0.000 1.769 0.000
C 0.000 0.000 1.769
Cl 0.000 0.000 0.000
Ni 1.769 1.769 1.769
```

D(E_F)   0.943 states/eV/f.u.
Energy relative to the lowest polymorph listed for this composition   1015 meV/atom

The following is a DFT calculation (meta-GGA SCAN) of ZnAs2Pb2O9 at its PBEsol-relaxed geometry.

Structure (extended XYZ):
```
28
Lattice="5.889 0.000 0.000 0.000 7.920 -0.083 0.000 -3.615 8.091" Properties=species:S:1:pos:R:3 pbc="T T T"
O 0.088 1.121 5.722
O 5.767 6.320 1.644
O 5.801 3.185 2.286
O 1.472 4.219 0.073
O 4.417 0.107 3.655
O 1.472 3.189 6.925
O 4.417 1.116 1.083
O 4.417 3.542 7.128
O 1.472 -1.135 3.979
O 1.472 4.199 4.353
O 1.472 0.763 0.880
O 4.417 0.086 7.935
O 0.122 -2.015 6.364
O 3.033 3.185 2.286
O 2.856 1.121 5.722
O 2.822 -2.015 6.364
O 4.417 5.440 4.029
O 3.067 6.320 1.644
Pb 1.472 4.862 2.172
Pb 4.417 3.074 5.027
Pb 4.417 -0.557 5.836
Pb 1.472 1.231 2.982
As 4.417 6.507 2.713
As 4.417 2.806 1.289
As 1.472 -2.202 5.295
As 1.472 1.499 6.719
Zn 0.000 0.000 0.000
Zn 2.945 0.000 0.000
```

D(E_F)   1.051 states/eV/f.u.

The following is a DFT calculation (meta-GGA SCAN) of ScCuS2 at its PBEsol-relaxed geometry.

Structure (extended XYZ):
```
4
Lattice="3.740 0.000 0.000 1.870 3.239 0.000 1.870 1.080 6.957" Properties=species:S:1:pos:R:3 pbc="T T T"
Sc 3.740 2.159 3.479
S 1.870 1.080 4.852
S 5.610 3.239 2.105
Cu 0.000 0.000 0.000
```

D(E_F)   0.000 states/eV/f.u.

The following is a DFT calculation (meta-GGA SCAN) of CrMoAs at its PBEsol-relaxed geometry.

Structure (extended XYZ):
```
3
Lattice="4.015 0.000 0.000 2.007 3.477 0.000 2.007 1.159 3.278" Properties=species:S:1:pos:R:3 pbc="T T T"
Cr 2.007 1.159 0.819
As 4.015 2.318 1.639
Mo 0.000 0.000 0.000
```

D(E_F)   0.808 states/eV/f.u.
Formation enthalpy at 0 K   -6 meV/atom

The following is a DFT calculation (meta-GGA SCAN) of YAg3C at its PBEsol-relaxed geometry.

Structure (extended XYZ):
```
5
Lattice="5.401 0.000 0.000 0.000 5.401 0.000 0.000 0.000 5.401" Properties=species:S:1:pos:R:3 pbc="T T T"
C 2.700 2.700 2.700
Ag 0.000 0.000 2.700
Ag 2.700 0.000 0.000
Ag 0.000 2.700 0.000
Y 0.000 0.000 0.000
```

D(E_F)   3.467 states/eV/f.u.
Formation enthalpy at 0 K   2385 meV/atom

The following is a DFT calculation (meta-GGA SCAN) of SnBiI2 at its PBEsol-relaxed geometry.

Structure (extended XYZ):
```
8
Lattice="-3.690 -5.285 3.132 7.164 -0.069 0.160 -1.825 5.884 3.662" Properties=species:S:1:pos:R:3 pbc="T T T"
I 0.362 0.937 3.101
I 2.164 5.149 4.133
I -1.382 -3.282 1.998
I 2.157 -1.747 4.676
Bi 3.538 1.569 2.734
Bi 0.000 0.000 0.000
Sn -1.889 -1.039 4.220
Sn 1.737 -2.677 1.646
```

D(E_F)   2.156 states/eV/f.u.

The following is a DFT calculation (meta-GGA SCAN) of LiLaMg at its PBEsol-relaxed geometry.

Structure (extended XYZ):
```
3
Lattice="-2.887 1.546 -0.076 -2.151 -3.877 2.842 2.160 4.151 2.417" Properties=species:S:1:pos:R:3 pbc="T T T"
Mg -2.156 -0.429 2.663
Li -0.723 2.249 2.521
La -2.887 1.546 -0.076
```

D(E_F)   1.906 states/eV/f.u.
Formation enthalpy at 0 K   -51 meV/atom
Energy relative to the lowest polymorph listed for this composition   0 meV/atom

The following is a DFT calculation (meta-GGA SCAN) of SbPdCl2 at its PBEsol-relaxed geometry.

Structure (extended XYZ):
```
8
Lattice="-0.563 5.861 -0.111 -4.058 2.500 -3.631 -3.848 2.660 3.744" Properties=species:S:1:pos:R:3 pbc="T T T"
Cl -2.564 4.966 1.812
Cl -2.232 3.454 -1.568
Cl -6.378 9.032 1.542
Cl -5.764 4.591 -1.782
Pd -0.281 2.931 -0.055
Pd -4.094 4.045 0.029
Sb 0.000 0.000 0.000
Sb -4.375 6.976 -0.027
```

D(E_F)   1.763 states/eV/f.u.

The following is a DFT calculation (meta-GGA SCAN) of PRhBr at its PBEsol-relaxed geometry.

Structure (extended XYZ):
```
3
Lattice="2.885 0.655 0.000 -0.654 2.885 0.000 -1.116 -1.770 6.015" Properties=species:S:1:pos:R:3 pbc="T T T"
Br 0.000 0.000 0.198
Rh 1.116 1.770 2.317
P 0.000 0.000 3.500
```

D(E_F)   1.987 states/eV/f.u.

The following is a DFT calculation (meta-GGA SCAN) of CdP3Pb at its PBEsol-relaxed geometry.

Structure (extended XYZ):
```
5
Lattice="4.924 0.000 0.000 0.000 4.924 0.000 0.000 0.000 4.924" Properties=species:S:1:pos:R:3 pbc="T T T"
Pb 2.462 2.462 2.462
Cd 0.000 0.000 0.000
P 0.000 2.462 0.000
P 0.000 0.000 2.462
P 2.462 0.000 0.000
```

D(E_F)   4.669 states/eV/f.u.
Formation enthalpy at 0 K   1075 meV/atom

The following is a DFT calculation (meta-GGA SCAN) of LiAg2Pb at its PBEsol-relaxed geometry.

Structure (extended XYZ):
```
4
Lattice="4.179 0.000 0.000 0.000 4.179 0.000 0.000 0.000 4.274" Properties=species:S:1:pos:R:3 pbc="T T T"
Ag 2.089 0.000 0.000
Ag 0.000 2.089 0.000
Li 2.089 2.089 2.137
Pb 0.000 0.000 2.137
```

D(E_F)   1.153 states/eV/f.u.
Formation enthalpy at 0 K   -111 meV/atom

The following is a DFT calculation (meta-GGA SCAN) of Ba2LaPt at its PBEsol-relaxed geometry.

Structure (extended XYZ):
```
4
Lattice="4.498 0.139 0.000 -0.139 4.498 0.000 0.000 0.000 6.039" Properties=species:S:1:pos:R:3 pbc="T T T"
Ba -0.070 2.249 0.000
Ba 2.249 0.070 0.000
La 0.000 0.000 3.020
Pt 2.179 2.318 3.020
```

D(E_F)   2.752 states/eV/f.u.
Formation enthalpy at 0 K   -150 meV/atom
Energy relative to the lowest polymorph listed for this composition   460 meV/atom

The following is a DFT calculation (meta-GGA SCAN) of GaTe3Pb at its PBEsol-relaxed geometry.

Structure (extended XYZ):
```
5
Lattice="5.329 0.000 0.000 0.000 5.329 0.000 0.000 0.000 5.329" Properties=species:S:1:pos:R:3 pbc="T T T"
Ga 0.000 0.000 0.000
Pb 2.665 2.665 2.665
Te 0.000 2.665 0.000
Te 0.000 0.000 2.665
Te 2.665 0.000 0.000
```

D(E_F)   2.962 states/eV/f.u.

The following is a DFT calculation (meta-GGA SCAN) of CaLaMnMoO6 at its PBEsol-relaxed geometry.

Structure (extended XYZ):
```
20
Lattice="5.471 0.000 0.032 0.000 5.636 0.000 -0.054 0.000 7.714" Properties=species:S:1:pos:R:3 pbc="T T T"
La 5.376 1.142 5.827
La 2.667 4.494 1.954
O 1.121 0.301 0.355
O 0.455 4.343 5.773
O 3.217 1.293 1.932
O 1.648 3.017 0.355
O 5.023 4.078 1.971
O 2.260 1.558 5.812
O 1.557 3.082 3.542
O 3.730 5.417 7.363
O 1.021 0.219 3.490
O 4.265 2.554 7.415
O 3.829 5.335 4.228
O 4.356 2.619 4.228
Mo 5.442 4.225 3.899
Mo 2.733 1.411 0.026
Ca 0.056 1.728 1.920
Ca 2.764 3.908 5.793
Mn 2.705 1.413 3.867
Mn 5.414 4.223 7.740
```

D(E_F)   2.846 states/eV/f.u.

The following is a DFT calculation (meta-GGA SCAN) of LiBe4Co at its PBEsol-relaxed geometry.

Structure (extended XYZ):
```
6
Lattice="-1.698 3.440 1.680 -3.451 -0.303 2.354 0.222 0.640 4.133" Properties=species:S:1:pos:R:3 pbc="T T T"
Be -1.854 1.421 3.073
Be -2.694 3.124 3.905
Be -3.562 1.271 4.238
Be -1.744 1.738 5.119
Co -3.695 2.833 6.125
Li 0.000 0.000 0.000
```

D(E_F)   2.384 states/eV/f.u.
Formation enthalpy at 0 K   -22 meV/atom

The following is a DFT calculation (meta-GGA SCAN) of Zr3Zn at its PBEsol-relaxed geometry.

Structure (extended XYZ):
```
8
Lattice="-4.040 2.886 0.187 -3.424 -4.866 1.123 2.435 3.112 4.588" Properties=species:S:1:pos:R:3 pbc="T T T"
Zr -2.247 -1.265 3.991
Zr -3.261 1.546 4.678
Zr -2.782 2.397 1.907
Zr -1.767 -0.414 1.219
Zr -3.429 -2.776 1.764
Zr -1.600 3.908 4.133
Zn -4.501 -0.042 2.418
Zn -0.528 1.174 3.479
```

D(E_F)   4.888 states/eV/f.u.
Formation enthalpy at 0 K   -120 meV/atom

The following is a DFT calculation (meta-GGA SCAN) of Be2HgAs at its PBEsol-relaxed geometry.

Structure (extended XYZ):
```
4
Lattice="-0.866 -3.244 0.624 2.651 -0.266 2.296 -3.180 2.051 3.911" Properties=species:S:1:pos:R:3 pbc="T T T"
Hg -2.292 -1.321 2.494
Be -0.887 -2.364 0.750
Be -1.930 -0.804 4.830
As 0.825 -0.809 1.648
```

D(E_F)   0.953 states/eV/f.u.
Formation enthalpy at 0 K   210 meV/atom

The following is a DFT calculation (meta-GGA SCAN) of LaTaTe2 at its PBEsol-relaxed geometry.

Structure (extended XYZ):
```
8
Lattice="5.528 0.000 0.000 0.000 5.528 0.000 -2.764 -2.764 8.474" Properties=species:S:1:pos:R:3 pbc="T T T"
Te 0.954 4.146 2.119
Te 4.573 1.382 2.119
Te 1.382 1.809 6.356
Te -1.382 -1.809 6.356
La 2.764 0.000 4.237
La 2.764 2.764 0.000
Ta 0.000 0.000 0.000
Ta 0.000 2.764 4.237
```

D(E_F)   2.281 states/eV/f.u.
Energy relative to the lowest polymorph listed for this composition   360 meV/atom

The following is a DFT calculation (meta-GGA SCAN) of K3FeO at its PBEsol-relaxed geometry.

Structure (extended XYZ):
```
5
Lattice="-1.637 -0.724 -4.973 -4.488 -2.143 1.789 -2.262 4.777 0.049" Properties=species:S:1:pos:R:3 pbc="T T T"
K -2.244 -1.072 0.894
K -1.131 2.388 0.024
K -0.818 -0.362 -2.487
O 0.000 0.000 0.000
Fe -4.193 0.955 -1.568
```

D(E_F)   3.198 states/eV/f.u.

The following is a DFT calculation (meta-GGA SCAN) of BeCoTe2 at its PBEsol-relaxed geometry.

Structure (extended XYZ):
```
4
Lattice="-0.036 3.275 1.255 -2.251 -0.635 -3.311 -3.841 -1.761 4.483" Properties=species:S:1:pos:R:3 pbc="T T T"
Be -3.693 0.240 -0.733
Co -2.435 1.544 0.803
Te -0.524 -0.184 0.466
Te -3.665 -0.596 1.451
```

D(E_F)   1.944 states/eV/f.u.

The following is a DFT calculation (meta-GGA SCAN) of GaSnTeI2 at its PBEsol-relaxed geometry.

Structure (extended XYZ):
```
5
Lattice="5.436 0.000 0.000 0.000 5.436 0.000 0.000 0.000 5.497" Properties=species:S:1:pos:R:3 pbc="T T T"
Te 0.000 0.000 2.749
I 2.718 0.000 0.000
I 0.000 2.718 0.000
Ga 0.000 0.000 0.000
Sn 2.718 2.718 2.749
```

D(E_F)   1.896 states/eV/f.u.

The following is a DFT calculation (meta-GGA SCAN) of Nd3Ti4O12 at its PBEsol-relaxed geometry.

Structure (extended XYZ):
```
76
Lattice="5.336 0.000 0.000 0.000 7.671 0.000 0.000 0.000 21.957" Properties=species:S:1:pos:R:3 pbc="T T T"
Ti 2.384 7.583 12.383
Ti 2.384 3.923 12.383
Ti 5.052 0.087 20.552
Ti 2.952 0.087 9.573
Ti 2.963 3.853 3.981
Ti 2.963 7.653 3.981
Ti 0.296 0.017 6.998
Ti 0.296 3.818 6.998
Ti 5.052 3.748 20.552
Ti 0.284 7.583 1.405
Ti 0.284 3.923 1.405
Ti 2.372 0.017 17.976
Ti 5.040 3.853 14.959
Ti 5.040 7.653 14.959
Ti 2.372 3.818 17.976
Ti 2.952 3.748 9.573
O 2.475 5.753 9.448
O 3.350 4.059 14.064
O 1.899 0.473 2.482
O 2.861 1.918 12.509
O 1.967 5.753 17.690
O 3.437 4.308 19.475
O 4.566 4.308 8.496
O 4.048 4.099 0.264
O 4.120 7.394 5.729
O 3.506 1.918 9.553
O 1.215 0.276 16.228
O 0.683 3.612 18.871
O 1.985 3.612 7.893
O 0.193 5.753 20.426
O 4.635 1.918 15.246
O 2.700 1.918 17.875
O 3.955 4.099 11.242
O 4.653 7.447 3.086
O 1.453 0.276 5.249
O 4.566 7.198 8.496
O 1.288 0.264 21.693
O 0.683 0.223 18.871
O 3.368 1.918 4.267
O 1.453 3.559 5.249
O 1.380 3.571 10.715
O 1.288 3.571 21.693
O 1.985 0.223 7.893
O 0.769 3.363 13.461
O 3.955 7.407 11.242
O 4.120 4.112 5.729
O 5.142 1.918 1.531
O 4.653 4.059 3.086
O 4.497 1.918 20.531
O 1.829 5.753 12.404
O 3.437 7.198 19.475
O 0.032 5.753 15.060
O 0.701 5.753 6.711
O 1.215 3.559 16.228
O 3.883 7.394 16.707
O 3.350 7.447 14.064
O 0.769 0.473 13.461
O 1.380 0.264 10.715
O 4.048 7.407 0.264
O 0.838 5.753 1.425
O 2.635 5.753 4.082
O 3.883 4.112 16.707
O 5.303 1.918 6.896
O 1.899 3.363 2.482
Nd 3.027 5.753 7.117
Nd 0.274 5.753 4.389
Nd 2.942 1.918 6.589
Nd 5.061 1.918 17.568
Nd 0.246 5.753 10.356
Nd 2.308 1.918 14.840
Nd 0.360 1.918 3.861
Nd 4.976 5.753 18.096
Nd 5.090 1.918 11.601
Nd 2.422 5.753 21.335
Nd 2.914 1.918 0.622
Nd 2.393 5.753 15.368
```

D(E_F)   3.990 states/eV/f.u.
Energy relative to the lowest polymorph listed for this composition   0 meV/atom

Computed values of raw total energy (unit: eV per cell) for the preceding records, in sequence: -36.5 -557.6 -54.2 -73.5 -120.1 -374.3 -50.6 -172.1 -63.3 -132.0 -141.3 -193.0 -203.0 -342.8 -37.2 -212.2 -96.2 -369.2 -50.2 -96.3 -162.3 -1349.7.